Entry 1:
# BeAgSb2 PBE relaxed
data_BeAgSb2
_chemical_formula_sum 'Be1 Ag1 Sb2'
_space_group_name_H-M_alt 'P 4/m m m'
_space_group_IT_number 123
_space_group_name_Hall '-P 4 2'
_cell_length_a 3.3044
_cell_length_b 3.3044
_cell_length_c 7.6271
_cell_angle_alpha 90.00
_cell_angle_beta 90.00
_cell_angle_gamma 90.00
loop_
_atom_site_label
_atom_site_type_symbol
_atom_site_fract_x
_atom_site_fract_y
_atom_site_fract_z
Be1 Be 0.0000 0.0000 0.0000
Ag1 Ag 0.0000 0.0000 0.5000
Sb1 Sb 0.5000 0.5000 0.2107
# N(E_F)   1.6 states/eV/cell
# Density   7186 kg/m³

=====

Entry 2:
# LiSm2Ni4Sb3 PBE relaxed
data_LiSm2Ni4Sb3
_chemical_formula_sum 'Li1 Sm2 Ni4 Sb3'
_space_group_name_H-M_alt 'P -4 m 2'
_space_group_IT_number 115
_cell_length_a 4.3178
_cell_length_b 4.3178
_cell_length_c 10.0991
_cell_angle_alpha 90.00
_cell_angle_beta 90.00
_cell_angle_gamma 90.00
loop_
_space_group_symop_operation_xyz
'x,y,z'
'y,-x,-z'
'-x,-y,z'
'-y,x,-z'
'-x,y,z'
'-y,-x,-z'
'x,-y,z'
'y,x,-z'
loop_
_atom_site_label
_atom_site_type_symbol
_atom_site_fract_x
_atom_site_fract_y
_atom_site_fract_z
Li1 Li 0.0000 0.0000 0.0000
Sm1 Sm 0.0000 0.5000 0.7423
Ni1 Ni 0.0000 0.0000 0.5000
Ni2 Ni 0.0000 0.5000 0.1233
Ni3 Ni 0.5000 0.5000 0.5000
Sb1 Sb 0.0000 0.5000 0.3661
Sb2 Sb 0.5000 0.5000 0.0000
# N(E_F)   5.0 states/eV/cell
# Density   8005 kg/m³

=====

For reference, uncorrected formation energy by record: 0.43 -0.62 eV/atom.